Record 1
Density functional theory data (PBE) for a geometry-optimized SmGdFeCu structure.

Structure (POSCAR):
```
SmGdFeCu
1.0
0.0000 3.4701 3.4701
3.4701 0.0000 3.4701
3.4701 3.4701 0.0000
Sm Gd Fe Cu
1 1 1 1
Cartesian
0.0000 0.0000 0.0000
3.4701 3.4701 3.4701
5.2051 5.2051 5.2051
1.7350 1.7350 1.7350
```

Formation energy (kJ per mole of atoms): 2.4
Electronic total energy (eV/atom): -7.81
Space-group type: F-43m, No. 216
Size of the total moment (μB per atom): 1.529


Record 2
Density functional theory data (PBE) for a geometry-optimized TbGdFeCu structure.

Structure (POSCAR):
```
TbGdFeCu
1.0
0.0000 3.4375 3.4375
3.4375 0.0000 3.4375
3.4375 3.4375 0.0000
Tb Gd Fe Cu
1 1 1 1
Cartesian
0.0000 0.0000 0.0000
3.4375 3.4375 3.4375
1.7188 1.7188 1.7188
5.1563 5.1563 5.1563
```

Formation energy (kJ per mole of atoms): -0.3
Electronic total energy (eV/atom): -7.82
Space-group type: F-43m, No. 216
Size of the total moment (μB per atom): 1.546


Record 3
Density functional theory data (PBE) for a geometry-optimized GdTmFeCu structure.

Structure (POSCAR):
```
GdTmFeCu
1.0
0.0000 3.4004 3.4004
3.4004 0.0000 3.4004
3.4004 3.4004 0.0000
Gd Tm Fe Cu
1 1 1 1
Cartesian
0.0000 0.0000 0.0000
3.4004 3.4004 3.4004
1.7002 1.7002 1.7002
5.1007 5.1007 5.1007
```

Formation energy (kJ per mole of atoms): -2.7
Electronic total energy (eV/atom): -7.81
Space-group type: F-43m, No. 216
Size of the total moment (μB per atom): 1.574


Record 4
Density functional theory data (PBE) for a geometry-optimized GdZrFeCu structure.

Structure (POSCAR):
```
GdZrFeCu
1.0
0.0000 3.3332 3.3332
3.3332 0.0000 3.3332
3.3332 3.3332 0.0000
Gd Zr Fe Cu
1 1 1 1
Cartesian
0.0000 0.0000 0.0000
3.3332 3.3332 3.3332
1.6666 1.6666 1.6666
4.9998 4.9998 4.9998
```

Formation energy (kJ per mole of atoms): -1.5
Electronic total energy (eV/atom): -8.81
Space-group type: F-43m, No. 216
Size of the total moment (μB per atom): 1.621


Record 5
Density functional theory data (PBE) for a geometry-optimized FeCuGe2 structure.

Structure (POSCAR):
```
FeCuGe2
1.0
0.0000 2.9998 2.9998
2.9998 0.0000 2.9998
2.9998 2.9998 0.0000
Fe Cu Ge
1 1 2
Cartesian
0.0000 0.0000 0.0000
2.9998 2.9998 2.9998
1.4999 1.4999 1.4999
4.4997 4.4997 4.4997
```

Formation energy (kJ per mole of atoms): 27.0
Electronic total energy (eV/atom): -5.17
Space-group type: Fm-3m, No. 225
Size of the total moment (μB per atom): 0.000


Record 6
Density functional theory data (PBE) for a geometry-optimized FeCuGe structure.

Structure (POSCAR):
```
FeCuGe
1.0
-1.5818 1.5818 3.8956
1.5818 -1.5818 3.8956
1.5818 1.5818 -3.8956
Fe Cu Ge
1 1 1
Cartesian
0.0000 0.0000 0.0000
0.0000 0.0000 2.6001
0.0000 0.0000 5.1461
```

Formation energy (kJ per mole of atoms): 18.5
Electronic total energy (eV/atom): -5.53
Space-group type: I4mm, No. 107
Size of the total moment (μB per atom): 0.664


Record 7
Density functional theory data (PBE) for a geometry-optimized FeCuGe2 structure.

Structure (POSCAR):
```
FeCuGe2
1.0
1.9241 1.1109 4.6027
-1.9241 1.1109 4.6027
0.0000 -2.2217 4.6027
Fe Cu Ge
1 1 2
Cartesian
0.0000 0.0000 0.0000
0.0000 0.0000 11.2109
0.0000 0.0000 5.3788
0.0000 0.0000 8.1281
```

Formation energy (kJ per mole of atoms): 13.7
Electronic total energy (eV/atom): -5.31
Space-group type: R3m, No. 160
Size of the total moment (μB per atom): 0.000


Record 8
Density functional theory data (PBE) for a geometry-optimized Fe3CuGe structure.

Structure (POSCAR):
```
Fe3CuGe
1.0
4.3726 0.0000 0.0000
0.0000 4.3726 0.0000
0.0000 0.0000 4.3726
Fe Cu Ge
3 1 1
Cartesian
0.0000 0.0000 2.1863
0.0000 2.1863 0.0000
2.1863 0.0000 0.0000
0.0000 0.0000 0.0000
2.1863 2.1863 2.1863
```

Formation energy (kJ per mole of atoms): 101.4
Electronic total energy (eV/atom): -5.77
Space-group type: Pm-3m, No. 221
Size of the total moment (μB per atom): 1.784


Record 9
Density functional theory data (PBE) for a geometry-optimized FeCuGe structure.

Structure (POSCAR):
```
FeCuGe
1.0
-1.3703 2.1061 3.4911
1.3703 -2.1061 3.4911
1.3703 2.1061 -3.4911
Fe Cu Ge
1 1 1
Cartesian
0.0000 0.0000 0.0000
0.0000 0.0000 2.6680
0.0000 2.1061 1.3447
```

Formation energy (kJ per mole of atoms): 16.6
Electronic total energy (eV/atom): -5.55
Space-group type: Imm2, No. 44
Size of the total moment (μB per atom): 0.665


Record 10
Density functional theory data (PBE) for a geometry-optimized FeCuGe2 structure.

Structure (POSCAR):
```
FeCuGe2
1.0
1.4455 0.8345 8.2985
-1.4455 0.8345 8.2985
0.0000 -1.6691 8.2985
Fe Cu Ge
1 1 2
Cartesian
0.0000 0.0000 0.0000
0.0000 0.0000 12.4477
0.0000 0.0000 10.0736
0.0000 0.0000 14.8219
```

Formation energy (kJ per mole of atoms): 12.9
Electronic total energy (eV/atom): -5.31
Space-group type: R-3m, No. 166
Size of the total moment (μB per atom): 0.150


Record 11
Density functional theory data (PBE) for a geometry-optimized FeCu3Ge structure.

Structure (POSCAR):
```
FeCu3Ge
1.0
4.4320 0.0000 0.0000
0.0000 4.4320 0.0000
0.0000 0.0000 4.4320
Fe Cu Ge
1 3 1
Cartesian
0.0000 0.0000 0.0000
0.0000 2.2160 2.2160
2.2160 0.0000 2.2160
2.2160 2.2160 0.0000
2.2160 2.2160 2.2160
```

Formation energy (kJ per mole of atoms): 86.0
Electronic total energy (eV/atom): -4.18
Space-group type: Pm-3m, No. 221
Size of the total moment (μB per atom): 0.674


Record 12
Density functional theory data (PBE) for a geometry-optimized Fe2CuGe2 structure.

Structure (POSCAR):
```
Fe2CuGe2
1.0
4.9531 0.0000 0.0000
0.0000 3.9891 0.0000
0.0000 0.0000 6.7710
Fe Cu Ge
4 2 4
Cartesian
0.0000 0.0000 0.0000
1.2383 0.0000 2.2785
2.4765 0.0000 0.0000
3.7148 0.0000 4.4925
0.0000 1.9946 3.3855
2.4765 1.9946 3.3855
1.2383 0.0000 4.6789
1.2383 1.9946 0.8208
3.7148 0.0000 2.0921
3.7148 1.9946 5.9503
```

Formation energy (kJ per mole of atoms): -8.1
Electronic total energy (eV/atom): -6.13
Space-group type: Pmma, No. 51
Size of the total moment (μB per atom): 0.587


Record 13
Density functional theory data (PBE) for a geometry-optimized FeCuGe structure.

Structure (POSCAR):
```
FeCuGe
1.0
3.6452 0.0000 0.0000
0.0000 3.6452 0.0000
0.0000 0.0000 6.0685
Fe Cu Ge
2 2 2
Cartesian
0.9113 2.7339 0.0000
2.7339 0.9113 0.0000
0.9113 0.9113 1.9007
2.7339 2.7339 4.1678
0.9113 0.9113 4.3485
2.7339 2.7339 1.7200
```

Formation energy (kJ per mole of atoms): 0.2
Electronic total energy (eV/atom): -5.72
Space-group type: P4/nmm, No. 129
Size of the total moment (μB per atom): 0.571


Record 14
Density functional theory data (PBE) for a geometry-optimized FeCu3Ge structure.

Structure (POSCAR):
```
FeCu3Ge
1.0
4.4577 0.0000 0.0000
0.0000 4.4577 0.0000
0.0000 0.0000 4.4577
Fe Cu Ge
1 3 1
Cartesian
0.0000 0.0000 0.0000
0.0000 0.0000 2.2289
0.0000 2.2289 0.0000
2.2289 0.0000 0.0000
2.2289 2.2289 2.2289
```

Formation energy (kJ per mole of atoms): 98.9
Electronic total energy (eV/atom): -4.05
Space-group type: Pm-3m, No. 221
Size of the total moment (μB per atom): 0.552


Record 15
Density functional theory data (PBE) for a geometry-optimized FeCuGe structure.

Structure (POSCAR):
```
FeCuGe
1.0
4.1040 0.0000 0.0000
-2.0520 3.5542 0.0000
0.0000 0.0000 2.6803
Fe Cu Ge
1 1 1
Cartesian
0.0000 0.0000 0.0000
2.0520 1.1847 1.4079
0.0000 2.3695 1.0691
```

Formation energy (kJ per mole of atoms): 12.0
Electronic total energy (eV/atom): -5.60
Space-group type: P3m1, No. 156
Size of the total moment (μB per atom): 0.723


Record 16
Density functional theory data (PBE) for a geometry-optimized Fe3CuGe structure.

Structure (POSCAR):
```
Fe3CuGe
1.0
4.3808 0.0000 0.0000
0.0000 4.3808 0.0000
0.0000 0.0000 4.3808
Fe Cu Ge
3 1 1
Cartesian
0.0000 0.0000 2.1904
0.0000 2.1904 0.0000
2.1904 0.0000 0.0000
2.1904 2.1904 2.1904
0.0000 0.0000 0.0000
```

Formation energy (kJ per mole of atoms): 101.2
Electronic total energy (eV/atom): -5.77
Space-group type: Pm-3m, No. 221
Size of the total moment (μB per atom): 1.491


Record 17
Density functional theory data (PBE) for a geometry-optimized Fe2CuGe2 structure.

Structure (POSCAR):
```
Fe2CuGe2
1.0
6.7080 0.0000 0.0000
0.0000 6.7080 0.0000
0.0000 0.0000 2.8382
Fe Cu Ge
4 2 4
Cartesian
0.9339 2.4200 0.0000
2.4200 5.7740 0.0000
4.2879 0.9339 0.0000
5.7740 4.2879 0.0000
0.0000 0.0000 0.0000
3.3540 3.3540 0.0000
1.0695 4.4234 1.4191
2.2845 1.0695 1.4191
4.4234 5.6385 1.4191
5.6385 2.2845 1.4191
```

Formation energy (kJ per mole of atoms): 6.6
Electronic total energy (eV/atom): -5.98
Space-group type: P4/mbm, No. 127
Size of the total moment (μB per atom): 0.000


Record 18
Density functional theory data (PBE) for a geometry-optimized FeCu2GeH structure.

Structure (POSCAR):
```
FeCu2GeH
1.0
3.7142 0.0000 0.0000
0.0000 3.7142 0.0000
0.0000 0.0000 3.8243
Fe Cu Ge H
1 2 1 1
Cartesian
0.0000 0.0000 0.0000
0.0000 1.8571 1.9122
1.8571 0.0000 1.9122
1.8571 1.8571 0.0000
0.0000 0.0000 1.9122
```

Electronic total energy (eV/atom): -4.81
Space-group type: P4/mmm, No. 123
Size of the total moment (μB per atom): 0.428


Record 19
Density functional theory data (PBE) for a geometry-optimized HoFeCuGe2 structure.

Structure (POSCAR):
```
HoFeCuGe2
1.0
-2.0130 2.0130 5.1632
2.0130 -2.0130 5.1632
2.0130 2.0130 -5.1632
Ho Fe Cu Ge
1 1 1 2
Cartesian
0.0000 0.0000 0.0000
0.0000 2.0130 2.5816
2.0130 0.0000 2.5816
0.0000 0.0000 3.9077
0.0000 0.0000 6.4187
```

Formation energy (kJ per mole of atoms): -42.1
Electronic total energy (eV/atom): -5.71
Space-group type: I-4m2, No. 119
Size of the total moment (μB per atom): 0.421


Record 20
Density functional theory data (PBE) for a geometry-optimized Fe2CuGeI structure.

Structure (POSCAR):
```
Fe2CuGeI
1.0
4.6510 0.0000 0.0000
0.0000 4.6510 0.0000
0.0000 0.0000 5.6717
Fe Cu Ge I
2 1 1 1
Cartesian
0.0000 2.3255 0.0000
2.3255 0.0000 0.0000
0.0000 0.0000 2.8358
2.3255 2.3255 2.8358
2.3255 2.3255 0.0000
```

Electronic total energy (eV/atom): -3.56
Space-group type: P4/mmm, No. 123
Size of the total moment (μB per atom): 0.057


Record 21
Density functional theory data (PBE) for a geometry-optimized LiFeCuGe2 structure.

Structure (POSCAR):
```
LiFeCuGe2
1.0
4.4637 0.0000 0.0000
0.0000 4.4637 0.0000
0.0000 0.0000 4.1160
Li Fe Cu Ge
1 1 1 2
Cartesian
0.0000 0.0000 0.0000
2.2318 2.2318 2.0580
0.0000 0.0000 2.0580
0.0000 2.2318 0.0000
2.2318 0.0000 0.0000
```

Formation energy (kJ per mole of atoms): 75.0
Electronic total energy (eV/atom): -3.96
Space-group type: P4/mmm, No. 123
Size of the total moment (μB per atom): 0.625


Record 22
Density functional theory data (PBE) for a geometry-optimized LiFeCuGe structure.

Structure (POSCAR):
```
LiFeCuGe
1.0
0.0000 2.9267 2.9267
2.9267 0.0000 2.9267
2.9267 2.9267 0.0000
Li Fe Cu Ge
1 1 1 1
Cartesian
0.0000 0.0000 0.0000
2.9267 2.9267 2.9267
1.4634 1.4634 1.4634
4.3901 4.3901 4.3901
```

Formation energy (kJ per mole of atoms): -4.1
Electronic total energy (eV/atom): -4.82
Space-group type: F-43m, No. 216
Size of the total moment (μB per atom): 0.522


Record 23
Density functional theory data (PBE) for a geometry-optimized MnFeCuGe structure.

Structure (POSCAR):
```
MnFeCuGe
1.0
0.0000 2.9256 2.9256
2.9256 0.0000 2.9256
2.9256 2.9256 0.0000
Mn Fe Cu Ge
1 1 1 1
Cartesian
0.0000 0.0000 0.0000
4.3884 4.3884 4.3884
1.4628 1.4628 1.4628
2.9256 2.9256 2.9256
```

Formation energy (kJ per mole of atoms): 7.7
Electronic total energy (eV/atom): -6.51
Space-group type: F-43m, No. 216
Size of the total moment (μB per atom): 1.152


Record 24
Density functional theory data (PBE) for a geometry-optimized FeCuNiGe structure.

Structure (POSCAR):
```
FeCuNiGe
1.0
0.0000 2.8873 2.8873
2.8873 0.0000 2.8873
2.8873 2.8873 0.0000
Fe Cu Ni Ge
1 1 1 1
Cartesian
0.0000 0.0000 0.0000
1.4436 1.4436 1.4436
2.8873 2.8873 2.8873
4.3309 4.3309 4.3309
```

Formation energy (kJ per mole of atoms): -3.8
Electronic total energy (eV/atom): -5.78
Space-group type: F-43m, No. 216
Size of the total moment (μB per atom): 0.565